Compound: ScAlPd5
Source: Alexandria via LeMat-Bulk
Functional: PBE
Structure: relaxed

```
ScAlPd5
1.0
4.067 0.000 0.000
0.000 4.067 0.000
0.000 0.000 6.921
Sc Al Pd
1 1 5
Cartesian
0.000 0.000 3.461
2.033 2.033 0.000
0.000 2.033 5.439
0.000 2.033 1.482
2.033 0.000 5.439
2.033 0.000 1.482
2.033 2.033 3.461
```

Its size of the total moment is 0.000 μB per atom.

=====

Compound: ScAlPd2
Source: Alexandria via LeMat-Bulk
Functional: PBE
Structure: relaxed

```
ScAlPd2
1.0
3.256 0.000 0.000
0.000 3.256 0.000
0.000 0.000 6.185
Sc Al Pd
1 1 2
Cartesian
1.628 1.628 3.092
1.628 1.628 0.000
0.000 0.000 4.754
0.000 0.000 1.430
```

Its size of the total moment is 0.000 μB per atom.

=====

Compound: Sc4AlPd2
Source: Alexandria via LeMat-Bulk
Functional: PBE
Structure: relaxed

```
Sc4AlPd2
1.0
-3.511 1.657 2.622
-4.055 -2.334 0.231
0.027 -4.078 6.799
Sc Al Pd
4 1 2
Cartesian
-6.565 -2.188 5.148
-0.973 -2.566 4.504
-4.648 -1.049 2.810
-2.891 -3.705 6.842
0.000 0.000 0.000
-5.600 -3.646 7.361
-1.938 -1.108 2.290
```

Its size of the total moment is 0.000 μB per atom. The calculation puts the energy relative to the lowest polymorph listed for this composition at 0 meV per atom.

=====

Compound: ScAlPd
Source: Alexandria via LeMat-Bulk
Functional: PBE
Structure: relaxed

```
ScAlPd
1.0
4.552 0.000 0.000
2.276 3.942 0.000
2.276 1.314 6.691
Sc Pd Al
2 2 2
Cartesian
4.552 2.628 5.679
4.552 2.628 1.012
2.276 1.314 1.766
6.828 3.942 4.925
2.276 1.314 4.266
6.828 3.942 2.425
```

Its size of the total moment is 0.000 μB per atom.

=====

Compound: ScAl2Pd3
Source: Alexandria via LeMat-Bulk
Functional: PBE
Structure: relaxed

```
ScAl2Pd3
1.0
3.089 0.000 0.000
0.000 3.089 0.000
0.000 0.000 9.865
Sc Al Pd
1 2 3
Cartesian
1.545 1.545 4.932
1.545 1.545 8.319
1.545 1.545 1.546
0.000 0.000 0.000
0.000 0.000 6.864
0.000 0.000 3.000
```

Its size of the total moment is 0.000 μB per atom. The calculation puts the energy relative to the lowest polymorph listed for this composition at 0 meV per atom.

=====

Compound: Sc2Al3Pd2
Source: Alexandria via LeMat-Bulk
Functional: PBE
Structure: relaxed

```
Sc2Al3Pd2
1.0
4.240 0.000 0.000
-2.120 4.302 -2.124
0.000 0.389 6.592
Sc Al Pd
2 3 2
Cartesian
2.120 3.118 -0.031
0.000 1.574 4.499
2.120 0.000 0.000
2.120 1.213 2.412
0.000 3.479 2.056
2.120 3.423 3.653
0.000 1.269 0.815
```

Its size of the total moment is 0.000 μB per atom.

=====

Compound: ScAlPd14
Source: Alexandria via LeMat-Bulk
Functional: PBE
Structure: relaxed

```
ScAlPd14
1.0
5.629 -0.012 0.000
0.012 5.629 0.000
0.000 0.000 7.816
Sc Al Pd
1 1 14
Cartesian
4.935 4.914 3.908
2.115 2.106 3.908
4.935 4.914 0.000
2.115 2.106 0.000
4.929 2.100 3.908
4.929 2.100 0.000
2.121 4.920 3.908
2.121 4.920 0.000
3.505 0.710 1.989
3.505 0.710 5.828
0.725 3.502 1.989
0.725 3.502 5.828
3.510 3.495 1.989
3.510 3.495 5.827
0.720 0.717 1.989
0.720 0.717 5.827
```

Its size of the total moment is 0.000 μB per atom.

=====

Compound: Sc2Al3Pd4
Source: Alexandria via LeMat-Bulk
Functional: PBE
Structure: relaxed

```
Sc2Al3Pd4
1.0
-3.881 -1.825 -3.377
-0.066 -6.611 3.648
-3.241 3.483 6.254
Sc Al Pd
4 6 8
Cartesian
-1.131 -3.350 3.110
-6.056 -1.604 3.414
-4.094 1.442 3.926
-3.093 -6.395 2.598
0.000 0.000 0.000
-1.973 -4.218 0.135
-3.796 -4.037 4.338
-5.332 -1.828 0.498
-3.391 -0.916 2.186
-1.856 -3.125 6.026
-5.576 -3.154 5.906
-3.551 -2.712 -1.071
-1.611 -1.799 0.618
-3.636 -2.242 7.595
-1.938 -5.535 5.217
-5.250 0.582 1.307
-3.339 -1.518 4.657
-3.848 -3.435 1.867
```

Its size of the total moment is 0.000 μB per atom. The calculation puts the energy relative to the lowest polymorph listed for this composition at 0 meV per atom.

=====

Compound: ScAl4Pd5
Source: Alexandria via LeMat-Bulk
Functional: PBE
Structure: relaxed

```
ScAl4Pd5
1.0
3.105 0.000 0.000
0.000 3.105 0.000
0.000 0.000 15.799
Sc Al Pd
1 4 5
Cartesian
0.000 0.000 0.000
0.000 0.000 3.359
0.000 0.000 6.401
0.000 0.000 9.398
0.000 0.000 12.440
1.553 1.553 1.900
1.553 1.553 4.906
1.553 1.553 7.899
1.553 1.553 10.893
1.553 1.553 13.899
```

Its size of the total moment is 0.000 μB per atom.

=====

Compound: Sc2AlPd3
Source: Alexandria via LeMat-Bulk
Functional: PBE
Structure: relaxed

```
Sc2AlPd3
1.0
-2.462 0.301 3.842
4.205 -1.795 0.114
4.289 10.171 1.952
Sc Al Pd
4 2 6
Cartesian
2.145 5.085 0.976
2.738 0.696 1.700
3.294 7.981 4.207
0.000 0.000 0.000
4.835 5.668 2.655
1.197 3.009 3.253
3.795 3.201 2.181
0.141 0.505 2.772
3.190 7.565 1.452
1.099 2.606 0.500
5.891 8.172 3.135
2.237 5.476 3.727
```

Its size of the total moment is 0.000 μB per atom. The calculation puts the energy relative to the lowest polymorph listed for this composition at 0 meV per atom.

=====

Compound: ScAl3Pd
Source: Alexandria via LeMat-Bulk
Functional: PBE
Structure: relaxed

```
ScAl3Pd
1.0
-3.334 2.697 -1.911
-3.105 -1.625 3.124
1.134 3.482 2.938
Sc Al Pd
1 3 1
Cartesian
-2.653 2.277 2.076
-1.553 -0.812 1.562
0.567 1.741 1.469
-1.667 1.349 -0.955
0.000 0.000 0.000
```

Its size of the total moment is 0.000 μB per atom. The calculation puts the energy relative to the lowest polymorph listed for this composition at 487 meV per atom.

=====

Compound: Sc2AlPd5
Source: Alexandria via LeMat-Bulk
Functional: PBE
Structure: relaxed

```
Sc2AlPd5
1.0
4.167 0.000 0.000
0.000 5.622 0.000
0.000 0.000 11.024
Sc Al Pd
4 2 10
Cartesian
2.084 1.800 3.952
2.084 3.822 7.072
2.084 1.011 9.464
2.084 4.611 1.560
0.000 0.000 5.512
0.000 2.811 0.000
2.084 1.777 1.159
2.084 3.845 9.865
2.084 4.588 4.353
2.084 1.034 6.671
0.000 5.226 8.206
0.000 0.396 2.818
0.000 2.415 8.330
0.000 3.207 2.694
0.000 2.811 5.512
0.000 0.000 0.000
```

Its size of the total moment is 0.000 μB per atom.

=====

Which total energy belongs to each record? In order, -41.37, -23.99, -43.57, -34.12, -34.67, -39.70, -88.50, -105.08, -56.04, -74.96, -23.33, -99.38 eV for the cell shown.
Which energy of formation from the pure elements belongs to each record? In order, -761, -883, -587, -597, -879, -775, -358, -875, -878, -916, -115, -915 meV per atom.